## Cs2CrCoF6 (PBE with a Hubbard U)

Data for a relaxed Cs2CrCoF6 crystal.

Its density of states at the Fermi level is 0.00 states/eV per atom. The space group is I4/mmm, No. 139. The calculation puts the total magnetization at 1.00 μB/cell. The calculation puts the total energy at -4.966 eV/atom.

abc: 6.0536 6.0536 6.2237
angles: 60.90 60.90 90.00
Sites, in units of the cell vectors:
Cs 0.7500 0.2500 0.5000
Cs 0.2500 0.7500 0.5000
Cr 0.5000 0.5000 0.0000
Co 0.0000 0.0000 0.0000
F 0.2410 0.2410 0.5180
F 0.7590 0.7590 0.4820
F 0.2451 0.2451 0.0000
F 0.7549 0.7549 0.0000
F 0.7549 0.2451 0.0000
F 0.2451 0.7549 0.0000